# 1
ScTiOs2Rh: relaxed, GGA-PBEsol.

Summary:
Energy of formation ... 0.785 eV/atom
Raw total energy ... -0.6405 Ry/atom
Density ... 10.59 g/cm3

Unit cell a=4.421 b=4.520 c=4.520 alpha=90.00 beta=90.00 gamma=90.00
Positions (direct):
Sc1 0.500 0.500 0.500
Rh1 0.500 0.000 0.000
Os1 0.000 0.000 0.500
Os2 0.000 0.500 0.000
Ti1 0.000 0.000 0.000


# 2
OsRh3Se: relaxed, GGA-PBEsol.

Summary:
Raw total energy ... -0.4942 Ry/atom
Raw formation energy ... 1.373 eV/atom
Density ... 11.06 g/cm3

Unit cell a=4.427 b=4.427 c=4.427 alpha=90.00 beta=90.00 gamma=90.00
Positions (direct):
Rh1 0.000 0.500 0.000
Rh2 0.000 0.000 0.500
Rh3 0.500 0.000 0.000
Os1 0.500 0.500 0.500
Se1 0.000 0.000 0.000


# 3
OsRhSe2: relaxed, GGA-PBEsol.

Summary:
E above lowest polymorph ... 140 meV/atom
Raw total energy ... -0.4863 Ry/atom
Raw formation energy ... 0.398 eV/atom
Density ... 12.05 g/cm3

Unit cell a=2.972 b=4.422 c=5.428 alpha=114.04 beta=105.89 gamma=90.00
Positions (direct):
Os1 0.485 0.485 0.971
Rh1 0.255 0.755 0.511
Se1 0.988 0.988 0.977
Se2 0.771 0.271 0.542


# 4
OsRh2Se: relaxed, GGA-PBEsol.

Summary:
Raw total energy ... -0.5599 Ry/atom
Raw formation energy ... 0.468 eV/atom
Density ... 13.82 g/cm3

Unit cell a=4.322 b=4.322 c=4.322 alpha=60.00 beta=60.00 gamma=60.00
Positions (direct):
Os1 0.500 0.500 0.500
Rh1 0.000 0.000 0.000
Rh2 0.750 0.750 0.750
Se1 0.250 0.250 0.250


# 5
OsRh2Se: relaxed, GGA-PBEsol.

Summary:
Raw total energy ... -0.5830 Ry/atom
Raw formation energy ... 0.153 eV/atom
Density ... 13.66 g/cm3

Unit cell a=2.761 b=2.761 c=7.574 alpha=90.00 beta=90.00 gamma=90.00
Positions (direct):
Os1 0.500 0.500 0.500
Rh1 0.000 0.000 0.739
Rh2 0.000 0.000 0.261
Se1 0.500 0.500 0.000


# 6
Os3RhSe: relaxed, GGA-PBEsol.

Summary:
Raw total energy ... -0.5671 Ry/atom
Raw formation energy ... 2.011 eV/atom
Density ... 14.39 g/cm3

Unit cell a=4.428 b=4.428 c=4.428 alpha=90.00 beta=90.00 gamma=90.00
Positions (direct):
Rh1 0.500 0.500 0.500
Os1 0.000 0.500 0.000
Os2 0.000 0.000 0.500
Os3 0.500 0.000 0.000
Se1 0.000 0.000 0.000